*1*
Compound: HfPtSe2Br
Source: Alexandria
Functional: GGA-PBE
Structure: relaxed

**V**: 136.2 Å³/f.u.
**N(E_F)**: 6.54 states/eV/cell
**Symmetry**: P4/mmm (123)

extended XYZ file:
```
5
Lattice="5.1684 0.0000 0.0000 0.0000 5.1684 0.0000 0.0000 0.0000 5.1003" Properties=species:S:1:pos:R:3 pbc="T T T"
Hf 0.0000 0.0000 0.0000
Pt 2.5842 2.5842 2.5501
Se 0.0000 2.5842 0.0000
Se 2.5842 0.0000 0.0000
Br 0.0000 0.0000 2.5501
```

*2*
Compound: HfPtSe2Br
Source: Alexandria
Functional: GGA-PBE
Structure: relaxed

**V**: 121.1 Å³/f.u.
**N(E_F)**: 5.08 states/eV/cell
**Symmetry**: P4/mmm (123)

extended XYZ file:
```
5
Lattice="4.9611 0.0000 0.0000 0.0000 4.9611 0.0000 0.0000 0.0000 4.9183" Properties=species:S:1:pos:R:3 pbc="T T T"
Hf 0.0000 0.0000 0.0000
Pt 2.4806 2.4806 2.4591
Se 0.0000 2.4806 2.4591
Se 2.4806 0.0000 2.4591
Br 2.4806 2.4806 0.0000
```

The calculated energies rank the structures as follows, beginning with the most stable: *1*, *2*.